(1)
# ErCoNO | OQMD | PBE+U | relaxed
# Calculated total energy, eV/cell: -56.5
# Energy above the most stable polymorph in this dataset, meV/atom: 90.2
# Space-group type: No. 123
data_ErCoNO
_chemical_formula_sum 'Er2 Co2 N2 O2'
_cell_length_a 4.723
_cell_length_b 4.723
_cell_length_c 4.297
_cell_angle_alpha 90.00
_cell_angle_beta 90.00
_cell_angle_gamma 90.00
_space_group_name_H-M_alt 'P 1'
_space_group_IT_number 1
_space_group_name_Hall 'P 1'
loop_
_atom_site_label
_atom_site_type_symbol
_atom_site_fract_x
_atom_site_fract_y
_atom_site_fract_z
Co1 Co 0.750 0.750 0.000
Co2 Co 0.250 0.250 0.000
Er1 Er 0.750 0.250 0.500
Er2 Er 0.250 0.750 0.500
N1 N 0.250 0.250 0.499
N2 N 0.750 0.750 0.501
O1 O 0.750 0.250 0.000
O2 O 0.250 0.750 0.000

(2)
# ErCoNO | OQMD | PBE+U | relaxed
# Calculated total energy, eV/cell: -57.2
# Energy above the most stable polymorph in this dataset, meV/atom: 0.0
# Space-group type: No. 26
data_ErCoNO
_chemical_formula_sum 'Er2 Co2 N2 O2'
_cell_length_a 3.703
_cell_length_b 4.832
_cell_length_c 6.033
_cell_angle_alpha 90.00
_cell_angle_beta 90.00
_cell_angle_gamma 90.00
_space_group_name_H-M_alt 'P 1'
_space_group_IT_number 1
_space_group_name_Hall 'P 1'
loop_
_atom_site_label
_atom_site_type_symbol
_atom_site_fract_x
_atom_site_fract_y
_atom_site_fract_z
Co1 Co 0.500 0.964 0.190
Co2 Co 0.500 0.464 0.810
Er1 Er 0.000 0.449 0.306
Er2 Er 0.000 0.949 0.694
N1 N 0.000 0.936 0.322
N2 N 0.000 0.436 0.678
O1 O 0.500 0.404 0.135
O2 O 0.500 0.904 0.865

(3)
# ErCoNO | OQMD | PBE+U | relaxed
# Calculated total energy, eV/cell: -56.6
# Energy above the most stable polymorph in this dataset, meV/atom: 76.2
# Space-group type: No. 26
data_ErCoNO
_chemical_formula_sum 'Er2 Co2 N2 O2'
_cell_length_a 3.585
_cell_length_b 5.538
_cell_length_c 5.748
_cell_angle_alpha 90.00
_cell_angle_beta 90.00
_cell_angle_gamma 90.00
_space_group_name_H-M_alt 'P 1'
_space_group_IT_number 1
_space_group_name_Hall 'P 1'
loop_
_atom_site_label
_atom_site_type_symbol
_atom_site_fract_x
_atom_site_fract_y
_atom_site_fract_z
Co1 Co 0.000 0.503 0.320
Co2 Co 0.000 0.003 0.680
Er1 Er 0.500 0.004 0.210
Er2 Er 0.500 0.504 0.790
N1 N 0.000 0.850 0.367
N2 N 0.000 0.350 0.633
O1 O 0.500 0.397 0.152
O2 O 0.500 0.897 0.848

(4)
# ErCoNO | OQMD | PBE+U | relaxed
# Calculated total energy, eV/cell: -56.5
# Energy above the most stable polymorph in this dataset, meV/atom: 93.4
# Space-group type: No. 129
data_ErCoNO
_chemical_formula_sum 'Er2 Co2 N2 O2'
_cell_length_a 4.696
_cell_length_b 4.696
_cell_length_c 4.317
_cell_angle_alpha 90.00
_cell_angle_beta 90.00
_cell_angle_gamma 90.00
_space_group_name_H-M_alt 'P 1'
_space_group_IT_number 1
_space_group_name_Hall 'P 1'
loop_
_atom_site_label
_atom_site_type_symbol
_atom_site_fract_x
_atom_site_fract_y
_atom_site_fract_z
Co1 Co 0.500 0.000 0.002
Co2 Co 0.000 0.500 0.998
Er1 Er 0.000 0.000 0.500
Er2 Er 0.500 0.500 0.500
N1 N 0.000 0.500 0.498
N2 N 0.500 0.000 0.502
O1 O 0.000 0.000 0.000
O2 O 0.500 0.500 0.000

(5)
# ErCoNO | OQMD | PBE+U | relaxed
# Calculated total energy, eV/cell: -56.3
# Energy above the most stable polymorph in this dataset, meV/atom: 106.6
# Space-group type: No. 129
data_ErCoNO
_chemical_formula_sum 'Er2 Co2 N2 O2'
_cell_length_a 3.589
_cell_length_b 3.589
_cell_length_c 7.657
_cell_angle_alpha 90.00
_cell_angle_beta 90.00
_cell_angle_gamma 90.00
_space_group_name_H-M_alt 'P 1'
_space_group_IT_number 1
_space_group_name_Hall 'P 1'
loop_
_atom_site_label
_atom_site_type_symbol
_atom_site_fract_x
_atom_site_fract_y
_atom_site_fract_z
Co1 Co 0.750 0.250 0.500
Co2 Co 0.250 0.750 0.500
Er1 Er 0.250 0.250 0.155
Er2 Er 0.750 0.750 0.845
N1 N 0.750 0.750 0.357
N2 N 0.250 0.250 0.643
O1 O 0.750 0.250 0.000
O2 O 0.250 0.750 0.000

(6)
# NaErCoO3 | OQMD | PBE+U | relaxed
# Calculated total energy, eV/cell: -74.0
# Space-group type: No. 63
data_NaErCoO3
_chemical_formula_sum 'Na2 Er2 Co2 O6'
_cell_length_a 5.517
_cell_length_b 5.517
_cell_length_c 9.086
_cell_angle_alpha 90.00
_cell_angle_beta 90.00
_cell_angle_gamma 36.18
_space_group_name_H-M_alt 'P 1'
_space_group_IT_number 1
_space_group_name_Hall 'P 1'
loop_
_atom_site_label
_atom_site_type_symbol
_atom_site_fract_x
_atom_site_fract_y
_atom_site_fract_z
Co1 Co 0.451 0.451 0.250
Co2 Co 0.549 0.549 0.750
Er1 Er 0.000 0.000 0.000
Er2 Er 0.000 0.000 0.500
Na1 Na 0.724 0.724 0.250
Na2 Na 0.276 0.276 0.750
O1 O 0.373 0.373 0.063
O2 O 0.058 0.058 0.250
O3 O 0.373 0.373 0.437
O4 O 0.627 0.627 0.563
O5 O 0.942 0.942 0.750
O6 O 0.627 0.627 0.937